This record from the Alexandria database describes a relaxed structure of Li2TbZnAu4. The functional is PBE.

```
Li2TbZnAu4
1.0
2.256 1.302 8.307
-2.256 1.302 8.307
0.000 -2.605 8.307
Li Tb Zn Au
2 1 1 4
Cartesian
0.000 0.000 5.955 Li
0.000 0.000 18.966 Li
0.000 0.000 0.000 Tb
0.000 0.000 12.461 Zn
0.000 0.000 3.171 Au
0.000 0.000 9.830 Au
0.000 0.000 15.091 Au
0.000 0.000 21.750 Au
```

=====

LiTbZnAu PBE relaxed; ΔE to the lowest computed polymorph = 0.0251 eV/atom
1.0
-2.286 2.286 3.676
2.286 -2.286 3.676
2.286 2.286 -3.676
Li Tb Zn Au
1 1 1 1
Cartesian
0.000 0.000 0.000 Li
0.000 2.286 1.838 Tb
2.286 0.000 1.838 Zn
0.000 0.000 3.676 Au

=====

Li2TcAu PBE relaxed; ΔE to the lowest computed polymorph = 0.0875 eV/atom
1.0
2.617 0.000 0.000
0.000 4.548 0.000
-0.199 0.000 5.068
Li Tc Au
2 1 1
Cartesian
0.390 0.000 1.198 Li
2.029 0.000 3.869 Li
1.309 2.274 0.000 Tc
-0.099 2.274 2.534 Au

=====

Li2TcAu PBE relaxed; ΔE to the lowest computed polymorph = 0.1177 eV/atom
1.0
2.675 0.000 0.000
0.000 4.669 0.000
0.000 0.000 4.890
Li Tc Au
2 1 1
Cartesian
0.000 0.000 0.000 Li
1.338 0.000 2.445 Li
0.000 2.334 2.445 Tc
1.338 2.334 0.000 Au

=====

Number 1: energy -27.38 eV per formula unit. Number 2: energy -12.87 eV per formula unit. Number 3: energy -17.23 eV per formula unit. Number 4: energy -17.11 eV per formula unit.